Record 1
Here is a relaxed structure of CrCu2Ag from the Alexandria database. Energies are from PBE.

The structure in extended XYZ format:
```
4
Lattice="4.769 0.032 0.000 1.662 4.470 0.000 -3.215 -2.251 2.709" Properties=species:S:1:pos:R:3 pbc="T T T"
Cu 0.000 0.000 0.000
Cr 2.384 0.016 1.354
Cu 0.831 2.235 1.354
Ag 3.215 2.251 0.000
```

Formation enthalpy at 0 K   0.302 eV/atom
Uncorrected energy   -4.865 eV per atom

=====

Record 2
Here is a relaxed structure of Pr2SnBi from the Alexandria database. Energies are from PBE.

The structure in extended XYZ format:
```
4
Lattice="-3.308 -0.550 3.085 -1.884 -3.957 -2.726 3.008 -3.255 2.645" Properties=species:S:1:pos:R:3 pbc="T T T"
Pr 1.504 -1.627 1.323
Bi -1.092 -3.881 1.502
Sn -1.654 -0.275 1.543
Pr -0.942 -1.978 -1.363
```

Formation enthalpy at 0 K   -0.669 eV/atom
Uncorrected energy   -5.030 eV per atom

=====

Record 3
Here is a relaxed structure of Ac6SmPb6 from the Alexandria database. Energies are from PBE.

The structure in extended XYZ format:
```
13
Lattice="-7.460 2.680 -1.869 1.086 -7.715 2.372 -1.347 2.619 9.133" Properties=species:S:1:pos:R:3 pbc="T T T"
Pb -0.448 0.872 3.039
Ac -0.462 -1.904 8.000
Ac 0.201 -3.193 3.505
Ac -4.192 -0.564 7.065
Pb -1.765 -4.248 0.958
Ac -4.735 3.294 5.880
Ac -4.072 2.005 1.385
Sm 0.000 0.000 0.000
Ac -3.530 -1.852 2.572
Pb -5.285 0.524 4.112
Pb -2.436 -2.941 5.525
Pb -4.610 -0.787 -0.454
Pb -0.898 1.747 6.094
```

Formation enthalpy at 0 K   -0.216 eV/atom
Uncorrected energy   -4.187 eV per atom

=====

Record 4
Here is a relaxed structure of Pm2InCu2O6 from the Alexandria database. Energies are from PBE.

The structure in extended XYZ format:
```
11
Lattice="5.871 0.000 0.000 -2.935 5.084 0.000 0.000 0.000 6.162" Properties=species:S:1:pos:R:3 pbc="T T T"
Cu 2.935 1.695 2.011
O 2.263 3.281 1.097
O 1.037 4.765 5.064
In 0.000 0.000 0.000
O 1.898 0.319 1.097
Pm 0.000 3.389 0.796
O -1.710 3.600 5.064
O 4.645 1.484 1.097
Cu 0.000 3.389 4.150
Pm 2.935 1.695 5.366
O 0.672 1.804 5.064
```

Uncorrected energy   -6.255 eV per atom
Raw formation energy   -1693 meV/atom

=====

Record 5
Here is a relaxed structure of Er8NiSn2 from the Alexandria database. Energies are from PBE.

The structure in extended XYZ format:
```
11
Lattice="4.874 0.000 0.000 0.000 6.666 0.285 -2.437 -2.428 9.057" Properties=species:S:1:pos:R:3 pbc="T T T"
Sn 0.000 4.222 3.531
Er 0.000 5.127 0.490
Er 0.000 4.874 6.767
Er 2.437 -0.890 8.852
Er 2.437 3.139 5.330
Sn 2.437 0.015 5.811
Er 2.437 -0.636 2.575
Er 0.000 1.098 4.013
Er 2.437 2.737 1.798
Er 0.000 1.500 7.544
Ni 2.437 0.000 0.000
```

Formation enthalpy at 0 K   -0.340 eV/atom
Uncorrected energy   -4.912 eV per atom

=====

Record 6
Here is a relaxed structure of Tm2Tl3CdS6 from the Alexandria database. Energies are from PBE.

The structure in extended XYZ format:
```
12
Lattice="-2.746 3.216 5.483 0.381 -6.913 -0.136 7.329 1.538 1.306" Properties=species:S:1:pos:R:3 pbc="T T T"
Tm -0.660 -3.542 1.734
S -0.233 -2.378 4.158
Tl 2.482 -1.079 3.327
S 4.561 -3.318 4.150
Tm -1.706 -0.155 3.613
S 5.196 0.220 2.495
Tl 3.525 -4.459 1.452
S 0.402 1.159 2.504
Tl 1.438 2.301 5.202
S 3.495 0.138 6.067
S 1.469 -2.296 0.587
Cd 0.000 0.000 0.000
```

Uncorrected energy   -4.545 eV per atom
Raw formation energy   -1068 meV/atom

=====

Record 7
Here is a relaxed structure of Ta3CSe3 from the Alexandria database. Energies are from PBE.

The structure in extended XYZ format:
```
14
Lattice="-2.844 -0.471 4.959 -4.583 -3.429 0.363 3.414 -8.890 4.431" Properties=species:S:1:pos:R:3 pbc="T T T"
Ta -3.248 -3.321 2.307
C -4.952 -2.600 3.548
Ta -3.734 -2.610 5.413
Ta -5.703 -4.667 3.903
C 0.938 -10.190 6.205
Se -2.360 -9.071 5.513
Se -3.757 -5.858 2.793
Se -4.153 -5.044 5.998
Se 0.139 -7.747 3.755
Ta -0.280 -10.181 4.340
Ta 1.690 -8.124 5.850
Se -1.653 -3.719 4.240
Ta -0.766 -9.470 7.447
Se -0.257 -6.933 6.960
```

Uncorrected energy   -8.599 eV per atom
Raw formation energy   -708 meV/atom

=====

Record 8
Here is a relaxed structure of MgMo2Pt from the Alexandria database. Energies are from PBE.

The structure in extended XYZ format:
```
4
Lattice="-6.666 0.371 -7.069 -7.513 -2.012 -5.835 -8.407 0.472 -4.861" Properties=species:S:1:pos:R:3 pbc="T T T"
Mo -11.382 -0.589 -8.952
Pt -5.646 -0.292 -4.441
Mo -22.497 -1.164 -17.695
Mg -16.939 -0.876 -13.323
```

Formation enthalpy at 0 K   0.172 eV/atom
Uncorrected energy   -7.152 eV per atom